1.
## Ti3Mn5O16 (PBEsol)

Data for a relaxed Ti3Mn5O16 crystal.

Results
size of the total moment: 15.00 μB per cell
ΔE_f (raw): -4847 kJ/mol of formula units
V: 10.37 Å³/atom
space group: Cm, No. 8

Geometry as POSCAR:
```
Ti3Mn5O16
1.0
4.967 -2.880 0.000
4.967 2.880 0.000
-0.173 0.000 8.697
Ti Mn O
3 5 16
Direct
0.000 0.000 0.000 Ti
0.169 0.669 0.499 Ti
0.669 0.169 0.499 Ti
0.006 0.501 0.997 Mn
0.174 0.174 0.726 Mn
0.501 0.006 0.997 Mn
0.509 0.509 0.223 Mn
0.669 0.669 0.496 Mn
0.012 0.496 0.606 O
0.015 0.015 0.604 O
0.179 0.179 0.108 O
0.184 0.668 0.105 O
0.318 0.318 0.870 O
0.322 0.887 0.863 O
0.365 0.365 0.358 O
0.371 0.796 0.364 O
0.496 0.012 0.606 O
0.512 0.512 0.611 O
0.668 0.184 0.105 O
0.674 0.674 0.105 O
0.796 0.371 0.364 O
0.832 0.832 0.889 O
0.834 0.834 0.389 O
0.887 0.322 0.863 O
```

---

2.
## TiMn3O8 (PBEsol)

Data for a relaxed TiMn3O8 crystal.

Results
size of the total moment: 9.00 μB per cell
ΔE_f (raw): -2182 kJ/mol of formula units
V: 11.03 Å³/atom
energy relative to the lowest polymorph listed for this composition: 6 meV/atom
density of states at the Fermi level: 0.063 states/eV/atom
space group: R-3m, No. 166

Geometry as POSCAR:
```
TiMn3O8
1.0
2.834 1.636 4.760
-2.834 1.636 4.760
0.000 -3.272 4.760
Ti Mn O
1 3 8
Direct
0.000 0.000 0.000 Ti
0.000 0.000 0.500 Mn
0.000 0.500 0.000 Mn
0.500 0.000 0.000 Mn
0.210 0.759 0.759 O
0.234 0.234 0.234 O
0.241 0.241 0.790 O
0.241 0.790 0.241 O
0.759 0.210 0.759 O
0.759 0.759 0.210 O
0.766 0.766 0.766 O
0.790 0.241 0.241 O
```

---

3.
## TiMn3O8 (PBEsol)

Data for a relaxed TiMn3O8 crystal.

Results
size of the total moment: 36.00 μB per cell
ΔE_f (raw): -2188 kJ/mol of formula units
V: 11.02 Å³/atom
energy relative to the lowest polymorph listed for this composition: 0 meV/atom
density of states at the Fermi level: 0.020 states/eV/atom
space group: P4_332, No. 212

Geometry as POSCAR:
```
TiMn3O8
1.0
8.087 0.000 0.000
0.000 8.087 0.000
0.000 0.000 8.087
Ti Mn O
4 12 32
Direct
0.125 0.125 0.125 Ti
0.375 0.875 0.625 Ti
0.625 0.375 0.875 Ti
0.875 0.625 0.375 Ti
0.121 0.871 0.875 Mn
0.125 0.621 0.629 Mn
0.129 0.375 0.379 Mn
0.371 0.625 0.879 Mn
0.375 0.379 0.129 Mn
0.379 0.129 0.375 Mn
0.621 0.629 0.125 Mn
0.625 0.879 0.371 Mn
0.629 0.125 0.621 Mn
0.871 0.875 0.121 Mn
0.875 0.121 0.871 Mn
0.879 0.371 0.625 Mn
0.105 0.883 0.109 O
0.109 0.105 0.883 O
0.113 0.387 0.613 O
0.117 0.609 0.395 O
0.133 0.855 0.641 O
0.137 0.637 0.863 O
0.141 0.367 0.145 O
0.145 0.141 0.367 O
0.355 0.859 0.867 O
0.359 0.633 0.645 O
0.363 0.363 0.363 O
0.367 0.145 0.141 O
0.383 0.391 0.895 O
0.387 0.613 0.113 O
0.391 0.895 0.383 O
0.395 0.117 0.609 O
0.605 0.617 0.891 O
0.609 0.395 0.117 O
0.613 0.113 0.387 O
0.617 0.891 0.605 O
0.633 0.645 0.359 O
0.637 0.863 0.137 O
0.641 0.133 0.855 O
0.645 0.359 0.633 O
0.855 0.641 0.133 O
0.859 0.867 0.355 O
0.863 0.137 0.637 O
0.867 0.355 0.859 O
0.883 0.109 0.105 O
0.887 0.887 0.887 O
0.891 0.605 0.617 O
0.895 0.383 0.391 O
```

---

4.
## TiMnO3 (PBEsol)

Data for a relaxed TiMnO3 crystal.

Results
size of the total moment: 10.00 μB per cell
ΔE_f (raw): -1127 kJ/mol of formula units
V: 10.52 Å³/atom
space group: R3c, No. 161

Geometry as POSCAR:
```
TiMnO3
1.0
2.573 1.486 4.587
-2.573 1.486 4.587
0.000 -2.972 4.587
Ti Mn O
2 2 6
Direct
0.000 0.000 0.000 Ti
0.500 0.500 0.500 Ti
0.218 0.218 0.218 Mn
0.718 0.718 0.718 Mn
0.142 0.782 0.388 O
0.282 0.642 0.888 O
0.388 0.142 0.782 O
0.642 0.888 0.282 O
0.782 0.388 0.142 O
0.888 0.282 0.642 O
```

---

5.
## TiMnO3 (PBEsol)

Data for a relaxed TiMnO3 crystal.

Results
size of the total moment: 10.00 μB per cell
ΔE_f (raw): -1145 kJ/mol of formula units
V: 10.55 Å³/atom
space group: R-3, No. 148

Geometry as POSCAR:
```
TiMnO3
1.0
2.554 1.474 4.670
-2.554 1.474 4.670
0.000 -2.949 4.670
Ti Mn O
2 2 6
Direct
0.147 0.147 0.147 Ti
0.853 0.853 0.853 Ti
0.359 0.359 0.359 Mn
0.641 0.641 0.641 Mn
0.048 0.439 0.776 O
0.224 0.952 0.561 O
0.439 0.776 0.048 O
0.561 0.224 0.952 O
0.776 0.048 0.439 O
0.952 0.561 0.224 O
```

---

6.
## TiMnO3 (PBEsol)

Data for a relaxed TiMnO3 crystal.

Results
size of the total moment: 20.00 μB per cell
ΔE_f (raw): -1118 kJ/mol of formula units
V: 10.10 Å³/atom
space group: Pnma, No. 62

Geometry as POSCAR:
```
TiMnO3
1.0
5.302 0.000 0.000
0.000 7.461 0.000
0.000 0.000 5.108
Ti Mn O
4 4 12
Direct
0.000 0.000 0.000 Ti
0.000 0.500 0.000 Ti
0.500 0.000 0.500 Ti
0.500 0.500 0.500 Ti
0.053 0.250 0.488 Mn
0.447 0.750 0.988 Mn
0.553 0.250 0.012 Mn
0.947 0.750 0.512 Mn
0.051 0.750 0.121 O
0.189 0.563 0.684 O
0.189 0.937 0.684 O
0.311 0.063 0.184 O
0.311 0.437 0.184 O
0.449 0.250 0.621 O
0.551 0.750 0.379 O
0.689 0.563 0.816 O
0.689 0.937 0.816 O
0.811 0.063 0.316 O
0.811 0.437 0.316 O
0.949 0.250 0.879 O
```